DFT (PBE) results for crystalline Ca13Ni2 at its relaxed geometry.

Calculated values
E_tot in eV per atom: -2.553
Space group: P-1, No. 2
DFT formation energy in eV/atom: -0.0472

Unit cell a=6.800 b=8.783 c=10.462 alpha=115.16 beta=89.86 gamma=97.35
Fractional positions:
1 Ca 0.619 0.694 0.464
2 Ca 0.080 0.460 0.307
3 Ca 0.537 0.230 0.155
4 Ca 0.150 0.922 0.616
5 Ca 0.920 0.540 0.693
6 Ca 0.231 0.384 0.923
7 Ca 0.000 0.000 0.000
8 Ca 0.463 0.770 0.845
9 Ca 0.306 0.848 0.231
10 Ca 0.769 0.616 0.077
11 Ca 0.694 0.152 0.769
12 Ca 0.850 0.078 0.384
13 Ca 0.381 0.306 0.536
14 Ni 0.193 0.154 0.269
15 Ni 0.807 0.846 0.731